[1]
The following is a DFT calculation (PBE) of a relaxed SrRe2Ni crystal.

The structure in extended XYZ format:
```
4
Lattice="0.000 3.240 3.240 3.240 0.000 3.240 3.240 3.240 0.000" Properties=species:S:1:pos:R:3 pbc="T T T"
Sr 0.000 0.000 0.000
Re 3.240 3.240 3.240
Re 4.861 4.861 4.861
Ni 1.620 1.620 1.620
```

Calculated values
Magnetic moment   0.00 Bohr magnetons per cell
DFT total energy   -28.78 eV for the cell shown
Space-group type   F-43m, No. 216
Formation energy   895 meV/atom

***

[2]
The following is a DFT calculation (PBE) of a relaxed YMn2Re crystal.

The structure in extended XYZ format:
```
8
Lattice="-3.611 3.611 2.861 3.611 -3.611 2.861 3.611 3.611 -2.861" Properties=species:S:1:pos:R:3 pbc="T T T"
Y 0.000 0.000 0.000
Y 0.000 3.611 1.431
Mn 1.805 -1.387 2.146
Mn 2.223 1.805 0.715
Mn 1.805 4.998 -0.715
Mn 1.387 1.805 3.577
Re 3.611 0.000 1.431
Re 0.000 0.000 2.861
```

Calculated values
Magnetic moment   8.39 Bohr magnetons per cell
DFT total energy   -69.66 eV for the cell shown
Space-group type   I-42d, No. 122
Formation energy   605 meV/atom

***

[3]
The following is a DFT calculation (PBE) of a relaxed CaNpTlI6 crystal.

The structure in extended XYZ format:
```
18
Lattice="8.059 0.000 0.000 -4.029 6.979 0.000 0.000 0.000 15.304" Properties=species:S:1:pos:R:3 pbc="T T T"
Ca 0.000 4.653 3.826
Ca 4.029 2.326 11.478
Np 0.000 4.653 11.478
Np 4.029 2.326 3.826
Tl 0.000 0.000 0.000
Tl 0.000 0.000 7.652
I -1.448 2.545 9.686
I -2.550 4.453 13.271
I 1.448 2.545 13.271
I -1.102 6.961 9.686
I 2.928 0.018 2.034
I 1.480 2.526 5.618
I 2.550 4.453 9.686
I 1.102 6.961 13.271
I 5.131 0.018 5.618
I 2.581 4.435 2.034
I 6.579 2.526 2.034
I 5.478 4.435 5.618
```

Calculated values
Magnetic moment   8.00 Bohr magnetons per cell
DFT total energy   -72.29 eV for the cell shown
Space-group type   P-31c, No. 163

***

[4]
The following is a DFT calculation (PBE) of a relaxed CaTm2Lu crystal.

The structure in extended XYZ format:
```
4
Lattice="0.000 4.002 4.002 4.002 0.000 4.002 4.002 4.002 0.000" Properties=species:S:1:pos:R:3 pbc="T T T"
Ca 0.000 0.000 0.000
Tm 2.001 2.001 2.001
Tm 6.004 6.004 6.004
Lu 4.002 4.002 4.002
```

Calculated values
Magnetic moment   0.00 Bohr magnetons per cell
DFT total energy   -14.71 eV for the cell shown
Space-group type   Fm-3m, No. 225
Formation energy   190 meV/atom